# 1
# CdCu2Sb (PBEsol, optimized geometry)
data_CdCu2Sb
_cell_length_a 3.123
_cell_length_b 3.123
_cell_length_c 8.655
_cell_angle_alpha 79.60
_cell_angle_beta 79.60
_cell_angle_gamma 60.00
_space_group_name_H-M_alt 'P 1'
_space_group_IT_number 1
loop_
_space_group_symop_operation_xyz
'x,y,z'
loop_
_atom_site_label
_atom_site_type_symbol
_atom_site_fract_x
_atom_site_fract_y
_atom_site_fract_z
Sb1 Sb 0.487 0.487 0.539
Cu1 Cu 0.009 0.009 0.974
Cu2 Cu 0.741 0.741 0.777
Cd1 Cd 0.263 0.263 0.210
# Symmetry: No. 160
# Density (Mg/m³): 8.388
# Volume (Å³/cell): 71.52
# Raw formation energy (eV per atom): 0.261
# Crystal system: trigonal

# 2
# CdCu2Sb (PBEsol, optimized geometry)
data_CdCu2Sb
_cell_length_a 3.082
_cell_length_b 4.425
_cell_length_c 5.699
_cell_angle_alpha 99.68
_cell_angle_beta 90.00
_cell_angle_gamma 110.38
_space_group_name_H-M_alt 'P 1'
_space_group_IT_number 1
loop_
_space_group_symop_operation_xyz
'x,y,z'
loop_
_atom_site_label
_atom_site_type_symbol
_atom_site_fract_x
_atom_site_fract_y
_atom_site_fract_z
Cd1 Cd 0.263 0.527 0.807
Sb1 Sb 0.489 0.978 0.442
Cu1 Cu 0.740 0.480 0.200
Cu2 Cu 0.008 0.015 0.051
# Symmetry: No. 8
# Density (Mg/m³): 8.367
# Volume (Å³/cell): 71.69
# Raw formation energy (eV per atom): 0.160
# Crystal system: monoclinic

# 3
# CdCuSb2 (PBEsol, optimized geometry)
data_CdCuSb2
_cell_length_a 3.053
_cell_length_b 3.053
_cell_length_c 9.302
_cell_angle_alpha 90.00
_cell_angle_beta 90.00
_cell_angle_gamma 89.98
_space_group_name_H-M_alt 'P 1'
_space_group_IT_number 1
loop_
_space_group_symop_operation_xyz
'x,y,z'
loop_
_atom_site_label
_atom_site_type_symbol
_atom_site_fract_x
_atom_site_fract_y
_atom_site_fract_z
Cd1 Cd 0.000 0.000 0.448
Sb1 Sb 0.500 0.500 0.729
Sb2 Sb 0.000 0.000 0.062
Cu1 Cu 0.500 0.500 0.261
# Symmetry: No. 99
# Density (Mg/m³): 8.034
# Volume (Å³/cell): 86.70
# Raw formation energy (eV per atom): 0.182
# Crystal system: tetragonal

# 4
# Cd2CuSb (PBEsol, optimized geometry)
data_Cd2CuSb
_cell_length_a 3.126
_cell_length_b 3.126
_cell_length_c 8.168
_cell_angle_alpha 90.00
_cell_angle_beta 90.00
_cell_angle_gamma 89.99
_space_group_name_H-M_alt 'P 1'
_space_group_IT_number 1
loop_
_space_group_symop_operation_xyz
'x,y,z'
loop_
_atom_site_label
_atom_site_type_symbol
_atom_site_fract_x
_atom_site_fract_y
_atom_site_fract_z
Cu1 Cu 0.000 0.000 0.510
Cd1 Cd 0.000 0.000 0.978
Cd2 Cd 0.500 0.500 0.715
Sb1 Sb 0.500 0.500 0.296
# Symmetry: No. 99
# Density (Mg/m³): 8.533
# Volume (Å³/cell): 79.81
# Raw formation energy (eV per atom): 0.133
# Crystal system: tetragonal

# 5
# CdCuSb2 (PBEsol, optimized geometry)
data_CdCuSb2
_cell_length_a 3.995
_cell_length_b 4.983
_cell_length_c 5.184
_cell_angle_alpha 113.71
_cell_angle_beta 90.00
_cell_angle_gamma 90.00
_space_group_name_H-M_alt 'P 1'
_space_group_IT_number 1
loop_
_space_group_symop_operation_xyz
'x,y,z'
loop_
_atom_site_label
_atom_site_type_symbol
_atom_site_fract_x
_atom_site_fract_y
_atom_site_fract_z
Sb1 Sb 0.000 0.315 0.193
Sb2 Sb 0.000 0.685 0.807
Cu1 Cu 0.500 0.500 0.000
Cd1 Cd 0.500 0.000 0.500
# Symmetry: No. 10
# Density (Mg/m³): 7.372
# Volume (Å³/cell): 94.49
# Raw formation energy (eV per atom): 0.131
# Crystal system: monoclinic

# 6
# CdCuSb2 (PBEsol, optimized geometry)
data_CdCuSb2
_cell_length_a 3.494
_cell_length_b 4.124
_cell_length_c 6.740
_cell_angle_alpha 107.81
_cell_angle_beta 105.02
_cell_angle_gamma 90.00
_space_group_name_H-M_alt 'P 1'
_space_group_IT_number 1
loop_
_space_group_symop_operation_xyz
'x,y,z'
loop_
_atom_site_label
_atom_site_type_symbol
_atom_site_fract_x
_atom_site_fract_y
_atom_site_fract_z
Cu1 Cu 0.265 0.765 0.530
Cd1 Cd 0.561 0.561 0.122
Sb1 Sb 0.937 0.937 0.873
Sb2 Sb 0.737 0.237 0.475
# Symmetry: No. 44
# Density (Mg/m³): 7.828
# Volume (Å³/cell): 88.98
# Raw formation energy (eV per atom): 0.162
# Crystal system: orthorhombic

# 7
# CdCuSbW2 (PBEsol, optimized geometry)
data_CdCuSbW2
_cell_length_a 4.891
_cell_length_b 4.891
_cell_length_c 5.090
_cell_angle_alpha 90.00
_cell_angle_beta 90.00
_cell_angle_gamma 90.00
_space_group_name_H-M_alt 'P 1'
_space_group_IT_number 1
loop_
_space_group_symop_operation_xyz
'x,y,z'
loop_
_atom_site_label
_atom_site_type_symbol
_atom_site_fract_x
_atom_site_fract_y
_atom_site_fract_z
Cu1 Cu 0.500 0.500 0.500
W1 W 0.500 0.000 0.000
W2 W 0.000 0.500 0.000
Cd1 Cd 0.000 0.000 0.500
Sb1 Sb 0.000 0.000 0.000
# Symmetry: No. 123
# Density (Mg/m³): 9.074
# Volume (Å³/cell): 121.76
# Raw formation energy (eV per atom): 2.500
# Crystal system: tetragonal

# 8
# ScCdCu (PBEsol, optimized geometry)
data_ScCdCu
_cell_length_a 3.167
_cell_length_b 3.167
_cell_length_c 5.723
_cell_angle_alpha 106.06
_cell_angle_beta 106.06
_cell_angle_gamma 90.00
_space_group_name_H-M_alt 'P 1'
_space_group_IT_number 1
loop_
_space_group_symop_operation_xyz
'x,y,z'
loop_
_atom_site_label
_atom_site_type_symbol
_atom_site_fract_x
_atom_site_fract_y
_atom_site_fract_z
Cd1 Cd 0.017 0.017 0.034
Cu1 Cu 0.665 0.665 0.331
Sc1 Sc 0.318 0.318 0.635
# Symmetry: No. 107
# Density (Mg/m³): 6.945
# Formation energy from the elements (eV per atom): -0.19
# Volume (Å³/cell): 52.82
# Crystal system: tetragonal

# 9
# Cd2CuSe (PBEsol, optimized geometry)
data_Cd2CuSe
_cell_length_a 3.410
_cell_length_b 3.633
_cell_length_c 6.771
_cell_angle_alpha 105.93
_cell_angle_beta 104.58
_cell_angle_gamma 90.00
_space_group_name_H-M_alt 'P 1'
_space_group_IT_number 1
loop_
_space_group_symop_operation_xyz
'x,y,z'
loop_
_atom_site_label
_atom_site_type_symbol
_atom_site_fract_x
_atom_site_fract_y
_atom_site_fract_z
Cd1 Cd 0.687 0.687 0.375
Cd2 Cd 0.313 0.313 0.625
Cu1 Cu 0.000 0.500 0.000
Se1 Se 0.500 0.000 0.000
# Symmetry: No. 12
# Density (Mg/m³): 7.837
# Volume (Å³/cell): 77.83
# Raw formation energy (eV per atom): -0.009
# Crystal system: monoclinic

# 10
# CdCu2Se2 (PBEsol, optimized geometry)
data_CdCu2Se2
_cell_length_a 3.937
_cell_length_b 3.937
_cell_length_c 6.844
_cell_angle_alpha 90.00
_cell_angle_beta 90.00
_cell_angle_gamma 120.00
_space_group_name_H-M_alt 'P 1'
_space_group_IT_number 1
loop_
_space_group_symop_operation_xyz
'x,y,z'
loop_
_atom_site_label
_atom_site_type_symbol
_atom_site_fract_x
_atom_site_fract_y
_atom_site_fract_z
Cu1 Cu 0.333 0.667 0.405
Cu2 Cu 0.667 0.333 0.595
Se1 Se 0.667 0.333 0.245
Se2 Se 0.333 0.667 0.755
Cd1 Cd 0.000 0.000 0.000
# Symmetry: No. 164
# Density (Mg/m³): 7.182
# Volume (Å³/cell): 91.89
# Raw formation energy (eV per atom): -0.191
# Crystal system: trigonal

# 11
# CdCuSe2 (PBEsol, optimized geometry)
data_CdCuSe2
_cell_length_a 3.526
_cell_length_b 3.526
_cell_length_c 6.673
_cell_angle_alpha 90.00
_cell_angle_beta 90.00
_cell_angle_gamma 90.00
_space_group_name_H-M_alt 'P 1'
_space_group_IT_number 1
loop_
_space_group_symop_operation_xyz
'x,y,z'
loop_
_atom_site_label
_atom_site_type_symbol
_atom_site_fract_x
_atom_site_fract_y
_atom_site_fract_z
Se1 Se 0.000 0.000 0.907
Se2 Se 0.500 0.500 0.465
Cu1 Cu 0.500 0.500 0.829
Cd1 Cd 0.000 0.000 0.298
# Symmetry: No. 99
# Density (Mg/m³): 6.683
# Volume (Å³/cell): 82.96
# Raw formation energy (eV per atom): -0.183
# Crystal system: tetragonal

# 12
# CdCu2Se (PBEsol, optimized geometry)
data_CdCu2Se
_cell_length_a 4.476
_cell_length_b 4.476
_cell_length_c 4.476
_cell_angle_alpha 60.00
_cell_angle_beta 60.00
_cell_angle_gamma 60.00
_space_group_name_H-M_alt 'P 1'
_space_group_IT_number 1
loop_
_space_group_symop_operation_xyz
'x,y,z'
loop_
_atom_site_label
_atom_site_type_symbol
_atom_site_fract_x
_atom_site_fract_y
_atom_site_fract_z
Cu1 Cu 0.250 0.250 0.250
Cu2 Cu 0.750 0.750 0.750
Se1 Se 0.500 0.500 0.500
Cd1 Cd 0.000 0.000 0.000
# Symmetry: No. 225
# Density (Mg/m³): 8.338
# Volume (Å³/cell): 63.43
# Raw formation energy (eV per atom): 0.188
# Crystal system: cubic

# 13
# Cd2CuSe (PBEsol, optimized geometry)
data_Cd2CuSe
_cell_length_a 4.067
_cell_length_b 4.060
_cell_length_c 5.331
_cell_angle_alpha 112.38
_cell_angle_beta 112.43
_cell_angle_gamma 90.00
_space_group_name_H-M_alt 'P 1'
_space_group_IT_number 1
loop_
_space_group_symop_operation_xyz
'x,y,z'
loop_
_atom_site_label
_atom_site_type_symbol
_atom_site_fract_x
_atom_site_fract_y
_atom_site_fract_z
Cd1 Cd 0.749 0.749 0.498
Cd2 Cd 0.251 0.251 0.502
Se1 Se 0.000 0.500 0.000
Cu1 Cu 0.500 0.000 0.000
# Symmetry: No. 71
# Density (Mg/m³): 8.227
# Volume (Å³/cell): 74.14
# Raw formation energy (eV per atom): 0.157
# Crystal system: orthorhombic

# 14
# Cd2CuSe (PBEsol, optimized geometry)
data_Cd2CuSe
_cell_length_a 3.585
_cell_length_b 3.856
_cell_length_c 5.914
_cell_angle_alpha 109.02
_cell_angle_beta 90.00
_cell_angle_gamma 90.00
_space_group_name_H-M_alt 'P 1'
_space_group_IT_number 1
loop_
_space_group_symop_operation_xyz
'x,y,z'
loop_
_atom_site_label
_atom_site_type_symbol
_atom_site_fract_x
_atom_site_fract_y
_atom_site_fract_z
Cd1 Cd 0.000 0.065 0.129
Cd2 Cd 0.500 0.399 0.798
Se1 Se 0.500 0.679 0.357
Cu1 Cu 0.000 0.832 0.663
# Symmetry: No. 38
# Density (Mg/m³): 7.893
# Volume (Å³/cell): 77.28
# Raw formation energy (eV per atom): -0.052
# Crystal system: orthorhombic

# 15
# Cd2CuSe (PBEsol, optimized geometry)
data_Cd2CuSe
_cell_length_a 4.768
_cell_length_b 4.768
_cell_length_c 4.768
_cell_angle_alpha 60.00
_cell_angle_beta 60.00
_cell_angle_gamma 60.00
_space_group_name_H-M_alt 'P 1'
_space_group_IT_number 1
loop_
_space_group_symop_operation_xyz
'x,y,z'
loop_
_atom_site_label
_atom_site_type_symbol
_atom_site_fract_x
_atom_site_fract_y
_atom_site_fract_z
Se1 Se 0.750 0.750 0.750
Cd1 Cd 0.000 0.000 0.000
Cd2 Cd 0.250 0.250 0.250
Cu1 Cu 0.500 0.500 0.500
# Symmetry: No. 216
# Density (Mg/m³): 7.960
# Volume (Å³/cell): 76.63
# Raw formation energy (eV per atom): 0.262
# Crystal system: cubic